# 1
! Mn2O3F | Alexandria | PBE+U | optimized geometry; values from VASP
! crystal system: monoclinic
! Fermi-level density of states: 5.42 states/eV/cell
! polymorph energy (0 for the lowest one): 11 meV per atom
! final energy: -6.892 eV per atom
! V: 63.9 Å³/f.u.
&SYSTEM
  ibrav = 0, nat = 24, ntyp = 3
/
ATOMIC_SPECIES
Mn 54.94 Mn.upf
F 19.00 F.upf
O 16.00 O.upf
CELL_PARAMETERS angstrom
5.499 0.005 0.005
1.609 5.259 0.005
0.409 0.303 8.840
ATOMIC_POSITIONS crystal
Mn 0.606 0.606 0.868
Mn 0.500 0.500 0.500
Mn 0.243 0.243 0.739
Mn 0.757 0.757 0.261
Mn 0.000 0.000 0.000
Mn 0.394 0.394 0.132
Mn 0.862 0.862 0.640
Mn 0.138 0.138 0.360
F 0.762 0.762 0.026
F 0.819 0.181 0.500
F 0.181 0.819 0.500
F 0.238 0.238 0.974
O 0.551 0.932 0.756
O 0.537 0.537 0.281
O 0.307 0.693 0.000
O 0.027 0.027 0.780
O 0.068 0.449 0.244
O 0.973 0.973 0.220
O 0.463 0.463 0.719
O 0.722 0.722 0.483
O 0.693 0.307 0.000
O 0.932 0.551 0.756
O 0.449 0.068 0.244
O 0.278 0.278 0.517

***

# 2
! Mn8O13F3 | Alexandria | PBE+U | optimized geometry; values from VASP
! crystal system: triclinic
! Fermi-level density of states: 5.28 states/eV/cell
! polymorph energy (0 for the lowest one): 23 meV per atom
! final energy: -6.925 eV per atom
! V: 248.7 Å³/f.u.
&SYSTEM
  ibrav = 0, nat = 24, ntyp = 3
/
ATOMIC_SPECIES
O 16.00 O.upf
Mn 54.94 Mn.upf
F 19.00 F.upf
CELL_PARAMETERS angstrom
4.512 -0.002 0.012
0.093 5.529 0.001
0.047 0.067 9.968
ATOMIC_POSITIONS crystal
O 0.277 0.615 0.970
O 0.229 0.118 0.959
O 0.236 0.106 0.455
O 0.263 0.602 0.462
O 0.723 0.383 0.543
O 0.765 0.104 0.288
O 0.723 0.613 0.790
O 0.773 0.894 0.033
O 0.232 0.887 0.207
O 0.737 0.609 0.291
O 0.265 0.404 0.721
O 0.735 0.388 0.041
O 0.229 0.890 0.707
Mn 0.521 0.661 0.126
Mn 0.011 0.842 0.873
Mn 0.515 0.350 0.380
Mn 0.989 0.140 0.119
Mn 0.482 0.640 0.630
Mn 0.490 0.367 0.883
Mn 0.023 0.166 0.619
Mn 0.012 0.848 0.368
F 0.753 0.126 0.786
F 0.756 0.872 0.538
F 0.263 0.376 0.213

***

# 3
! Mn3O4F2 | Alexandria | PBE+U | optimized geometry; values from VASP
! crystal system: triclinic
! Fermi-level density of states: 1.82 states/eV/cell
! polymorph energy (0 for the lowest one): 28 meV per atom
! final energy: -6.824 eV per atom
! V: 97.6 Å³/f.u.
&SYSTEM
  ibrav = 0, nat = 18, ntyp = 3
/
ATOMIC_SPECIES
Mn 54.94 Mn.upf
O 16.00 O.upf
F 19.00 F.upf
CELL_PARAMETERS angstrom
5.517 0.003 -0.058
1.806 5.222 -0.112
2.280 1.537 6.728
ATOMIC_POSITIONS crystal
Mn 0.658 0.668 0.328
Mn 0.308 0.312 0.162
Mn 0.346 0.365 0.684
Mn 0.017 0.962 0.000
Mn 0.997 0.014 0.504
Mn 0.669 0.686 0.827
O 0.032 0.665 0.667
O 0.348 0.971 0.330
O 0.646 0.061 0.668
O 0.775 0.753 0.043
O 0.576 0.588 0.617
O 0.969 0.360 0.334
O 0.220 0.209 0.972
O 0.314 0.663 0.998
F 0.893 0.908 0.316
F 0.425 0.420 0.358
F 0.111 0.125 0.685
F 0.694 0.269 0.007

***

# 4
! Mn2OF3 | Alexandria | PBE+U | optimized geometry; values from VASP
! crystal system: monoclinic
! Fermi-level density of states: 4.51 states/eV/cell
! polymorph energy (0 for the lowest one): 14 meV per atom
! final energy: -6.555 eV per atom
! V: 75.7 Å³/f.u.
&SYSTEM
  ibrav = 0, nat = 24, ntyp = 3
/
ATOMIC_SPECIES
F 19.00 F.upf
O 16.00 O.upf
Mn 54.94 Mn.upf
CELL_PARAMETERS angstrom
5.803 0.001 -0.007
1.783 5.522 -0.007
0.595 0.433 9.455
ATOMIC_POSITIONS crystal
F 0.045 0.422 0.267
F 0.955 0.578 0.733
F 0.422 0.045 0.267
F 0.578 0.955 0.733
F 0.278 0.278 0.541
F 0.485 0.485 0.733
F 0.306 0.694 0.000
F 0.974 0.974 0.219
F 0.026 0.026 0.781
F 0.722 0.722 0.459
F 0.515 0.515 0.267
F 0.694 0.306 0.000
O 0.206 0.206 0.974
O 0.812 0.188 0.500
O 0.794 0.794 0.026
O 0.188 0.812 0.500
Mn 0.354 0.354 0.116
Mn 0.113 0.113 0.391
Mn 0.646 0.646 0.884
Mn 0.500 0.500 0.500
Mn 0.000 0.000 0.000
Mn 0.887 0.887 0.609
Mn 0.744 0.744 0.236
Mn 0.256 0.256 0.764